The following is a PBE calculation of an optimized crystal structure of AlTe2Cl, from Alexandria.

Lattice parameters (Å, degrees): 4.2024 4.2024 7.0315 90.00 90.00 90.00
Closest atoms and distances in Å follow each position.
Space group P4/mmm (No. 123)
Asymmetric unit:
Al 0.0000 0.0000 0.0000 [1 per cell]  4 Cl 2.97
Te 0.0000 0.5000 0.5000 [2 per cell]  4 Te 2.97
Cl 0.5000 0.5000 0.0000 [1 per cell]  4 Al 2.97

Results
Volume (Å³/cell): 124.2
Polymorph energy (0 for the lowest one) (eV/atom): 0.5260